LaTm3Bi4 | PBE-GGA | optimized geometry

Unit cell a=7.799 b=7.799 c=4.514 alpha=90.00 beta=90.00 gamma=109.51
Positions (direct):
La (0.000, 0.000, 0.000)
Tm (0.000, 0.500, 0.500)
Tm (0.500, 0.000, 0.500)
Tm (0.500, 0.500, 0.000)
Bi (0.256, 0.744, 0.000)
Bi (0.261, 0.261, 0.500)
Bi (0.739, 0.739, 0.500)
Bi (0.744, 0.256, 0.000)

Properties
* DFT total energy: -40.57 eV/cell
* D(E_F): 1.20 states/eV/cell
* ΔH_f (0 K): -838.6 meV per atom
* SG: Cmmm (65)